1.
{
  "formula": "Ta2MnAg",
  "functional": "PBE",
  "state": "relaxed",
  "lattice_angstrom": [[2.8125, 0.0000, 0.0000], [0.0000, 4.1069, 0.0000], [0.0000, 0.0000, 5.7415]],
  "species": ["Ta", "Ta", "Mn", "Ag"],
  "fractional_positions": [[0.0000, 0.0000, 0.2359], [0.0000, 0.0000, 0.7641], [0.5000, 0.5000, 0.0000], [0.5000, 0.5000, 0.5000]],
  "n_ef_per_ev_cell": 4.28,
  "formation_energy_ev_per_atom": 0.29,
  "polymorph_energy_mev_per_atom": 142,
  "final_energy_ev_per_atom": -8.642,
  "magnetic_moment_mub_per_atom": 0.591,
  "vol_a3_per_cell": 66
}

---

2.
{
  "formula": "Ca2YNi",
  "functional": "PBE",
  "state": "relaxed",
  "lattice_angstrom": [[-2.2193, 2.2193, 5.4448], [2.2193, -2.2193, 5.4448], [2.2193, 2.2193, -5.4448]],
  "species": ["Ca", "Ca", "Y", "Ni"],
  "fractional_positions": [[0.2500, 0.7500, 0.5000], [0.7500, 0.2500, 0.5000], [0.0000, 0.0000, 0.0000], [0.5000, 0.5000, 0.0000]],
  "n_ef_per_ev_cell": 4.70,
  "formation_energy_ev_per_atom": 0.25,
  "polymorph_energy_mev_per_atom": 362,
  "final_energy_ev_per_atom": -3.807,
  "magnetic_moment_mub_per_atom": 0.000,
  "vol_a3_per_cell": 107
}

---

3.
{
  "formula": "SrMn2Cd",
  "functional": "PBE",
  "state": "relaxed",
  "lattice_angstrom": [[3.4851, 0.0000, 0.0000], [0.0000, 3.4851, 0.0000], [0.0000, 0.0000, 7.6209]],
  "species": ["Sr", "Mn", "Mn", "Cd"],
  "fractional_positions": [[0.0000, 0.0000, 0.0000], [0.0000, 0.0000, 0.5329], [0.5000, 0.5000, 0.6999], [0.5000, 0.5000, 0.3250]],
  "n_ef_per_ev_cell": 4.84,
  "formation_energy_ev_per_atom": 0.40,
  "final_energy_ev_per_atom": -4.830,
  "magnetic_moment_mub_per_atom": 1.928,
  "vol_a3_per_cell": 93
}